AcPrTh2, relaxed, DFT PBE-GGA; energy relative to the elements = 0.302 eV per atom; symmetry = Fm-3m, No. 225; calculated density = 9651 kg/m³; magnetic moment = 0.00 μB per formula unit
1.0
-3.8049 -4.3859 -0.8741
-0.9802 -3.9277 4.2531
-5.1414 -0.0352 2.8357
Pr Ac Th
1 1 2
Direct
0.5000 0.5000 0.5000
0.0000 0.0000 0.0000
0.2500 0.2500 0.2500
0.7500 0.7500 0.7500